(1)
VASP calculation (PBE-GGA) on crystalline La2Th3Sc at its relaxed geometry.

Output
* space group: C2/c
* electronic total energy: -37.219 eV per formula unit

a b c (Å): 6.7368 11.3609 7.6478
angles (deg): 137.97 91.29 90.00
Closest atoms and distances in Å follow each position.
Fractional positions:
La 0.2488 0.9001 0.3384  2 Sc 3.39-3.76, 6 Th 3.40-3.65, 2 La 3.47-3.74
Th 0.5234 0.1644 0.3271  4 Th 3.35-3.45, 4 La 3.40-3.65, 2 Sc 3.45-3.53
Sc 0.7500 0.7754 0.0000  4 La 3.39-3.76, 6 Th 3.45-3.55
Sc 0.2500 0.2246 0.0000  4 La 3.39-3.76, 6 Th 3.45-3.55
La 0.7512 0.0999 0.6616  2 Sc 3.39-3.76, 6 Th 3.40-3.65, 2 La 3.47-3.74
Th 0.0000 0.5000 0.0000  4 Th 3.37-3.45, 4 La 3.53-3.60, 2 Sc 3.55
La 0.2512 0.5616 0.6616  2 Sc 3.39-3.76, 6 Th 3.40-3.65, 2 La 3.47-3.74
La 0.7488 0.4384 0.3384  2 Sc 3.39-3.76, 6 Th 3.40-3.65, 2 La 3.47-3.74
Th 0.9766 0.8373 0.6729  4 Th 3.35-3.45, 4 La 3.40-3.65, 2 Sc 3.45-3.53
Th 0.4766 0.8356 0.6729  4 Th 3.35-3.45, 4 La 3.40-3.65, 2 Sc 3.45-3.53
Th 0.5000 0.5000 0.0000  4 Th 3.37-3.45, 4 La 3.53-3.60, 2 Sc 3.55
Th 0.0234 0.1627 0.3271  4 Th 3.35-3.45, 4 La 3.40-3.65, 2 Sc 3.45-3.53

(2)
VASP calculation (PBE-GGA) on crystalline La2ThSc at its relaxed geometry.

Output
* space group: P4/mmm
* electronic total energy: -23.294 eV per formula unit

a b c (Å): 3.6164 3.6164 9.8482
angles (deg): 90.00 90.00 90.00
Closest atoms and distances in Å follow each position.
Fractional positions:
La 0.0000 0.0000 0.7560  4 Sc 3.51, 4 Th 3.59, 4 La 3.62
Sc 0.5000 0.5000 0.0000  8 La 3.51, 4 Sc 3.62
Th 0.5000 0.5000 0.5000  8 La 3.59, 4 Th 3.62
La 0.0000 0.0000 0.2440  4 Sc 3.51, 4 Th 3.59, 4 La 3.62

(3)
VASP calculation (PBE-GGA) on crystalline La6Th2Sc at its relaxed geometry.

Output
* space group: C222
* electronic total energy: -49.522 eV per formula unit

a b c (Å): 6.2499 6.3042 8.8808
angles (deg): 90.00 90.00 119.72
Closest atoms and distances in Å follow each position.
Fractional positions:
La 0.8311 0.1686 0.3277  4 Th 3.39-3.67, 1 Sc 3.42, 5 La 3.46-3.66
Sc 0.5000 0.0000 0.0000  10 La 3.42-3.67
La 0.3376 0.1686 0.6723  4 Th 3.39-3.67, 1 Sc 3.42, 5 La 3.46-3.66
La 0.6624 0.8314 0.6723  4 Th 3.39-3.67, 1 Sc 3.42, 5 La 3.46-3.66
La 0.8250 0.6499 0.0000  5 La 3.46-3.83, 3 Sc 3.56-3.67, 2 Th 3.58
Th 0.5000 0.5000 0.3504  10 La 3.39-3.67
La 0.1689 0.8314 0.3277  4 Th 3.39-3.67, 1 Sc 3.42, 5 La 3.46-3.66
Th 0.0000 0.5000 0.6496  10 La 3.39-3.67
La 0.1750 0.3501 0.0000  5 La 3.46-3.83, 3 Sc 3.56-3.67, 2 Th 3.58

(4)
VASP calculation (PBE-GGA) on crystalline LaTh6Sc2 at its relaxed geometry.

Output
* space group: P-6m2
* electronic total energy: -61.205 eV per formula unit

a b c (Å): 3.4949 3.4949 26.5701
angles (deg): 90.00 90.00 120.00
Closest atoms and distances in Å follow each position.
Fractional positions:
Th 0.3333 0.6667 0.8827  9 Th 3.49-3.57, 3 La 3.71
La 0.6667 0.3333 0.0000  6 La 3.49, 6 Th 3.71
Th 0.6667 0.3333 0.7718  3 Sc 3.44, 9 Th 3.49-3.57
Th 0.6667 0.3333 0.2282  3 Sc 3.44, 9 Th 3.49-3.57
Sc 0.3333 0.6667 0.6669  6 Th 3.42-3.44, 6 Sc 3.49
Sc 0.3333 0.6667 0.3331  6 Th 3.42-3.44, 6 Sc 3.49
Th 0.3333 0.6667 0.1173  9 Th 3.49-3.57, 3 La 3.71
Th 0.6667 0.3333 0.5629  7 Th 3.34-3.49, 3 Sc 3.42
Th 0.6667 0.3333 0.4371  7 Th 3.34-3.49, 3 Sc 3.42